This record from the Alexandria database describes a relaxed structure of LiCe2Tm3Se6. The functional is GGA-PBE.

Lattice parameters (Å, degrees): 7.044 12.218 7.097 90.00 109.47 90.00
Space group C2/m (No. 12)
Asymmetric unit:
1 Li 0.000 0.000 0.000
2 Ce 0.000 0.334 0.000
3 Tm 0.000 0.168 0.500
4 Tm 0.000 0.500 0.500
5 Se 0.235 0.000 0.742
6 Se 0.247 0.161 0.258

Summary:
Formation energy without anion corrections, meV per atom: -1715
DFT total energy, eV/atom: -5.72